Compound: TbCeZn
Source: Alexandria
Functional: GGA-PBE
Structure: relaxed

The structure in CIF format:
```
data_TbCeZn
_chemical_formula_sum 'Tb4 Ce4 Zn4'
_cell_length_a 3.478
_cell_length_b 16.730
_cell_length_c 5.179
_cell_angle_alpha 90.00
_cell_angle_beta 90.00
_cell_angle_gamma 90.00
_symmetry_space_group_name_H-M 'C m c m'
_symmetry_Int_Tables_number 63
_symmetry_space_group_name_Hall '-C 2c 2'
loop_
_atom_site_label
_atom_site_fract_x
_atom_site_fract_y
_atom_site_fract_z
_atom_site_occupancy
Tb1 0.000 0.077 0.250 1
Ce1 0.000 0.229 0.750 1
Zn1 0.000 0.426 0.250 1
```

Summary:
Formation energy (meV per atom): -155
Crystal system: orthorhombic
Magnetic moment (μB/atom): 0.1690
Calculated total energy (eV/cell): -49.21
D(E_F) (states/eV per cell): 24.08